#a
5
Lattice="4.801 0.000 0.000 0.000 4.801 0.000 0.000 0.000 4.801" Properties=species:S:1:pos:R:3 comment="Ti3NbSn | Alexandria | PBE | optimized geometry" sg="No. 221" mass_density_g_cm3=5.331 magmom_total_mub_per_cell=1.2 pbc="T T T"
Ti 0.000 0.000 2.400
Ti 0.000 2.400 0.000
Ti 2.400 0.000 0.000
Nb 0.000 0.000 0.000
Sn 2.400 2.400 2.400

---

#b
10
Lattice="6.834 -2.373 0.000 6.834 2.373 0.000 -1.029 0.000 5.604" Properties=species:S:1:pos:R:3 comment="Ti3NbSn | Alexandria | PBE | optimized geometry" sg="No. 12" mass_density_g_cm3=6.490 magmom_total_mub_per_cell=0.0 pbc="T T T"
Ti 0.921 0.000 2.543
Ti 3.389 0.000 4.332
Ti 3.917 0.000 1.686
Ti 8.723 0.000 3.918
Ti 9.250 0.000 1.272
Ti 11.719 0.000 3.060
Nb 6.029 0.000 4.116
Nb 6.611 0.000 1.488
Sn 0.599 0.000 5.344
Sn 12.041 0.000 0.260

---

Comparing the structures above, #b comes out on top by 892 meV/atom.